Entry 1:
Computed, not measured: a relaxed ZrNiRu2C crystal at the GGA-PBE level of DFT.

Lattice parameters (Å, degrees): 4.8072 4.8072 4.1582 90.00 90.00 90.00
Closest atoms and distances in Å follow each position.
Sites, in units of the cell vectors:
1 Zr 0.0000 0.0000 0.0000  2 C 2.08
2 Ni 0.5000 0.5000 0.5000  8 Ru 3.18, 4 C 3.40
3 Ru 0.0000 0.5000 0.0000  2 Zr 2.40
4 Ru 0.5000 0.0000 0.0000  2 Zr 2.40
5 C 0.0000 0.0000 0.5000  2 Zr 2.08

Total moment   0.008 μB per atom
Energy above the most stable polymorph in this dataset   2487 meV per atom
Total energy   -0.4551 Ry/atom
Formation energy   2.229 eV/atom

=====

Entry 2:
Computed, not measured: a relaxed ZrNiRu2C crystal at the GGA-PBE level of DFT.

Lattice parameters (Å, degrees): 4.1228 4.1228 3.8778 90.00 90.00 90.00
Closest atoms and distances in Å follow each position.
Sites, in units of the cell vectors:
1 Zr 0.0000 0.0000 0.0000  8 Ru 2.83, 4 Ni 2.92
2 Ni 0.5000 0.5000 0.0000  2 C 1.94
3 Ru 0.0000 0.5000 0.5000  2 C 2.06
4 Ru 0.5000 0.0000 0.5000  2 C 2.06
5 C 0.5000 0.5000 0.5000  2 Ni 1.94, 4 Ru 2.06

Total moment   0.000 μB per atom
Energy above the most stable polymorph in this dataset   0 meV per atom
Total energy   -0.6379 Ry/atom
Formation energy   -0.258 eV/atom

=====

Entry 3:
Computed, not measured: a relaxed NiCS crystal at the GGA-PBE level of DFT.

Lattice parameters (Å, degrees): 5.9530 5.9530 3.7761 100.68 100.68 135.50
Closest atoms and distances in Å follow each position.
Sites, in units of the cell vectors:
1 Ni 0.1771 0.8229 0.0000  1 C 1.91
2 Ni 0.8229 0.1771 0.0000  1 C 1.91
3 C 0.5791 0.7016 0.8258  1 C 1.35
4 C 0.7016 0.5791 0.8258  1 C 1.35
5 S 0.1262 0.4237 0.6609  1 C 1.74
6 S 0.4237 0.1262 0.6609  1 C 1.74

Total moment   0.000 μB per atom
Energy above the most stable polymorph in this dataset   122 meV per atom
ΔE_f (raw)   335 meV per atom
Total energy   -0.4441 Ry/atom

=====

Entry 4:
Computed, not measured: a relaxed NiCS crystal at the GGA-PBE level of DFT.

Lattice parameters (Å, degrees): 3.3607 4.0468 5.9877 101.92 96.10 91.02
Closest atoms and distances in Å follow each position.
Sites, in units of the cell vectors:
1 Ni 0.0000 0.0000 0.0000  3 C 1.95-2.17
2 Ni 0.4126 0.1594 0.5171  1 C 1.91
3 C 0.3562 0.8239 0.2393  1 C 1.38
4 C 0.5422 0.7249 0.0420  1 C 1.38
5 S 0.1960 0.6289 0.4434  1 C 1.71
6 S 0.4919 0.2933 0.8946  1 C 1.78

Total moment   0.000 μB per atom
Energy above the most stable polymorph in this dataset   110 meV per atom
ΔE_f (raw)   324 meV per atom
Total energy   -0.4450 Ry/atom

=====

Entry 5:
Computed, not measured: a relaxed Ni2CS2 crystal at the GGA-PBE level of DFT.

Lattice parameters (Å, degrees): 5.5512 5.5512 5.5512 140.81 140.81 56.62
Closest atoms and distances in Å follow each position.
Sites, in units of the cell vectors:
1 Ni 0.2500 0.7500 0.5000  4 S 2.22
2 Ni 0.7500 0.2500 0.5000  4 S 2.22
3 C 0.0000 0.0000 0.0000  8 S 2.91, 8 Ni 3.07
4 S 0.3736 0.3736 0.0000  4 Ni 2.22, 1 S 2.47
5 S 0.6264 0.6264 0.0000  4 Ni 2.22, 1 S 2.47

Total moment   0.000 μB per atom
Energy above the most stable polymorph in this dataset   57 meV per atom
ΔE_f (raw)   1148 meV per atom
Total energy   -0.3425 Ry/atom

=====

Entry 6:
Computed, not measured: a relaxed NiCS crystal at the GGA-PBE level of DFT.

Lattice parameters (Å, degrees): 5.7693 5.7693 3.5682 105.81 105.81 127.55
Closest atoms and distances in Å follow each position.
Sites, in units of the cell vectors:
1 Ni 0.1270 0.8730 0.0000  2 C 1.98-2.10, 1 S 2.22
2 Ni 0.8730 0.1270 0.0000  2 C 1.98-2.10, 1 S 2.22
3 C 0.7380 0.8733 0.3097  1 C 1.40
4 C 0.8733 0.7380 0.3097  1 C 1.40
5 S 0.3498 0.6844 0.2718  1 C 1.73
6 S 0.6844 0.3498 0.2718  1 C 1.73

Total moment   0.000 μB per atom
Energy above the most stable polymorph in this dataset   154 meV per atom
ΔE_f (raw)   368 meV per atom
Total energy   -0.4417 Ry/atom

=====

Entry 7:
Computed, not measured: a relaxed NiCS3 crystal at the GGA-PBE level of DFT.

Lattice parameters (Å, degrees): 4.3864 4.3864 4.3864 90.00 90.00 90.00
Closest atoms and distances in Å follow each position.
Sites, in units of the cell vectors:
1 Ni 0.0000 0.0000 0.0000  6 S 2.19
2 C 0.5000 0.5000 0.5000  12 S 3.10
3 S 0.0000 0.0000 0.5000  2 Ni 2.19
4 S 0.0000 0.5000 0.0000  2 Ni 2.19
5 S 0.5000 0.0000 0.0000  2 Ni 2.19

Total moment   0.039 μB per atom
Energy above the most stable polymorph in this dataset   398 meV per atom
ΔE_f (raw)   1766 meV per atom
Total energy   -0.2728 Ry/atom

=====

Entry 8:
Computed, not measured: a relaxed NiCS crystal at the GGA-PBE level of DFT.

Lattice parameters (Å, degrees): 5.4112 5.4112 3.3600 105.35 105.35 115.16
Closest atoms and distances in Å follow each position.
Sites, in units of the cell vectors:
1 Ni 0.1317 0.8683 0.0000  1 C 1.87
2 Ni 0.8683 0.1317 0.0000  1 C 1.87
3 C 0.4856 0.4856 0.8595  1 C 1.35
4 C 0.7386 0.7386 0.9423  1 C 1.35
5 S 0.1277 0.4497 0.7599  1 C 1.79
6 S 0.4497 0.1277 0.7599  1 C 1.79

Total moment   0.000 μB per atom
Energy above the most stable polymorph in this dataset   75 meV per atom
ΔE_f (raw)   289 meV per atom
Total energy   -0.4475 Ry/atom

=====

Entry 9:
Computed, not measured: a relaxed NiCS crystal at the GGA-PBE level of DFT.

Lattice parameters (Å, degrees): 3.4931 4.4382 5.3023 102.43 98.64 110.82
Closest atoms and distances in Å follow each position.
Sites, in units of the cell vectors:
1 Ni 0.0000 0.0000 0.0000  1 C 1.98
2 Ni 0.0884 0.8445 0.4672  3 C 1.94-2.08
3 C 0.0047 0.2260 0.7161  1 C 1.41
4 C 0.6793 0.0900 0.4798  1 C 1.41
5 S 0.2993 0.6582 0.8074  1 C 1.74
6 S 0.6939 0.3132 0.2427  1 C 1.76

Total moment   0.000 μB per atom
Energy above the most stable polymorph in this dataset   100 meV per atom
ΔE_f (raw)   314 meV per atom
Total energy   -0.4457 Ry/atom

=====

Entry 10:
Computed, not measured: a relaxed NiCS crystal at the GGA-PBE level of DFT.

Lattice parameters (Å, degrees): 3.2660 4.5487 5.4974 107.44 105.96 95.14
Closest atoms and distances in Å follow each position.
Sites, in units of the cell vectors:
1 Ni 0.0000 0.0000 0.0000  1 C 1.85
2 Ni 0.3735 0.2092 0.7412  2 C 1.98-1.99, 1 S 2.17
3 C 0.5903 0.6873 0.4004  1 C 1.41
4 C 0.7900 0.9462 0.6369  1 C 1.41
5 S 0.2598 0.3664 0.3974  1 C 1.73
6 S 0.5067 0.6977 0.0678  1 C 1.79

Total moment   0.000 μB per atom
Energy above the most stable polymorph in this dataset   78 meV per atom
ΔE_f (raw)   292 meV per atom
Total energy   -0.4473 Ry/atom

=====

Entry 11:
Computed, not measured: a relaxed NiCS crystal at the GGA-PBE level of DFT.

Lattice parameters (Å, degrees): 13.0412 13.0412 13.0412 11.47 11.47 11.47
Closest atoms and distances in Å follow each position.
Sites, in units of the cell vectors:
1 Ni 0.1941 0.1941 0.1941  3 S 2.23
2 Ni 0.8059 0.8059 0.8059  3 S 2.23
3 C 0.3333 0.3333 0.3333  3 C 1.50
4 C 0.6667 0.6667 0.6667  3 C 1.50
5 S 0.0971 0.0971 0.0971  3 Ni 2.23
6 S 0.9029 0.9029 0.9029  3 Ni 2.23

Total moment   0.000 μB per atom
Energy above the most stable polymorph in this dataset   0 meV per atom
ΔE_f (raw)   214 meV per atom
Total energy   -0.4530 Ry/atom

=====

Entry 12:
Computed, not measured: a relaxed Ni2CS2 crystal at the GGA-PBE level of DFT.

Lattice parameters (Å, degrees): 6.2036 6.2036 3.2028 90.00 90.00 90.00
Closest atoms and distances in Å follow each position.
Sites, in units of the cell vectors:
1 Ni 0.1418 0.3582 0.0000  2 S 2.25, 1 Ni 2.49
2 Ni 0.3582 0.8582 0.0000  2 S 2.25, 1 Ni 2.49
3 Ni 0.6418 0.1418 0.0000  2 S 2.25, 1 Ni 2.49
4 Ni 0.8582 0.6418 0.0000  2 S 2.25, 1 Ni 2.49
5 C 0.0000 0.0000 0.5000  4 S 2.28
6 C 0.5000 0.5000 0.5000  4 S 2.28
7 S 0.1784 0.6784 0.5000  2 Ni 2.25, 2 C 2.28
8 S 0.3216 0.1784 0.5000  2 Ni 2.25, 2 C 2.28
9 S 0.6784 0.8216 0.5000  2 Ni 2.25, 2 C 2.28
10 S 0.8216 0.3216 0.5000  2 Ni 2.25, 2 C 2.28

Total moment   0.000 μB per atom
Energy above the most stable polymorph in this dataset   0 meV per atom
ΔE_f (raw)   1091 meV per atom
Total energy   -0.3467 Ry/atom

=====

Entry 13:
Computed, not measured: a relaxed NiCS crystal at the GGA-PBE level of DFT.

Lattice parameters (Å, degrees): 5.7465 5.7465 5.7465 148.25 54.60 136.80
Closest atoms and distances in Å follow each position.
Sites, in units of the cell vectors:
1 Ni 0.1199 0.0000 0.1199  2 C 2.05, 3 S 2.25-2.29
2 Ni 0.8801 0.0000 0.8801  2 C 2.05, 3 S 2.25-2.29
3 C 0.6451 0.2147 0.4304  1 C 1.42
4 C 0.7843 0.2147 0.5696  1 C 1.42
5 S 0.2026 0.8656 0.3370  1 C 1.76
6 S 0.5286 0.8656 0.6630  1 C 1.76

Total moment   0.000 μB per atom
Energy above the most stable polymorph in this dataset   19 meV per atom
ΔE_f (raw)   232 meV per atom
Total energy   -0.4517 Ry/atom

=====

Entry 14:
Computed, not measured: a relaxed NiCS crystal at the GGA-PBE level of DFT.

Lattice parameters (Å, degrees): 3.3930 4.1240 5.5307 75.69 81.94 87.65
Closest atoms and distances in Å follow each position.
Sites, in units of the cell vectors:
1 Ni 0.0000 0.0000 0.0000  2 C 1.94-2.00
2 Ni 0.0853 0.8315 0.5629  1 C 1.94
3 C 0.2368 0.1712 0.2555  1 C 1.39
4 C 0.5265 0.2703 0.0490  1 C 1.39
5 S 0.5436 0.6977 0.8823  1 C 1.77
6 S 0.9589 0.3738 0.4564  1 C 1.71

Total moment   0.000 μB per atom
Energy above the most stable polymorph in this dataset   143 meV per atom
ΔE_f (raw)   357 meV per atom
Total energy   -0.4425 Ry/atom

=====

Entry 15:
Computed, not measured: a relaxed NiCS3 crystal at the GGA-PBE level of DFT.

Lattice parameters (Å, degrees): 4.0545 4.0545 4.0545 90.00 90.00 90.00
Closest atoms and distances in Å follow each position.
Sites, in units of the cell vectors:
1 Ni 0.0000 0.0000 0.0000  12 S 2.87
2 C 0.5000 0.5000 0.5000  6 S 2.03
3 S 0.0000 0.5000 0.5000  2 C 2.03
4 S 0.5000 0.0000 0.5000  2 C 2.03
5 S 0.5000 0.5000 0.0000  2 C 2.03

Total moment   0.276 μB per atom
Energy above the most stable polymorph in this dataset   0 meV per atom
ΔE_f (raw)   1368 meV per atom
Total energy   -0.3020 Ry/atom

=====

Entry 16:
Computed, not measured: a relaxed Ni2SbCS crystal at the GGA-PBE level of DFT.

Lattice parameters (Å, degrees): 4.7250 4.7250 5.1009 90.00 90.00 90.00
Closest atoms and distances in Å follow each position.
Sites, in units of the cell vectors:
1 Ni 0.0000 0.5000 0.0000  2 Sb 2.36
2 Ni 0.5000 0.0000 0.0000  2 Sb 2.36
3 Sb 0.0000 0.0000 0.0000  4 Ni 2.36, 2 S 2.55
4 C 0.5000 0.5000 0.5000  4 S 3.34, 8 Ni 3.48
5 S 0.0000 0.0000 0.5000  2 Sb 2.55

Total moment   0.054 μB per atom
ΔE_f (raw)   2186 meV per atom
Total energy   -0.2662 Ry/atom

=====

Entry 17:
Computed, not measured: a relaxed Th4NiC2S crystal at the GGA-PBE level of DFT.

Lattice parameters (Å, degrees): 6.7159 3.8076 7.0003 90.00 108.44 90.00
Closest atoms and distances in Å follow each position.
Sites, in units of the cell vectors:
1 Th 0.2361 0.0000 0.2176  3 C 2.63-2.68, 1 Ni 2.90, 2 S 2.91
2 Th 0.2565 0.5000 0.7789  3 C 2.66, 2 Ni 2.88, 1 S 2.92
3 Th 0.7435 0.5000 0.2211  3 C 2.66, 2 Ni 2.88, 1 S 2.92
4 Th 0.7639 0.0000 0.7824  3 C 2.63-2.68, 1 Ni 2.90, 2 S 2.91
5 Ni 0.0000 0.0000 0.5000  6 Th 2.88-2.90
6 C 0.0000 0.5000 0.0000  6 Th 2.63-2.66
7 C 0.5000 0.0000 0.0000  6 Th 2.66-2.68
8 S 0.5000 0.5000 0.5000  6 Th 2.91-2.92

Total moment   0.000 μB per atom
ΔE_f (raw)   -720 meV per atom
Total energy   -0.5861 Ry/atom

=====

Entry 18:
Computed, not measured: a relaxed Th4NiCS2 crystal at the GGA-PBE level of DFT.

Lattice parameters (Å, degrees): 6.9893 3.8934 7.0491 90.00 108.71 90.00
Closest atoms and distances in Å follow each position.
Sites, in units of the cell vectors:
1 Th 0.2239 0.0000 0.2218  2 C 2.67, 1 Ni 2.85, 1 S 2.87
2 Th 0.2471 0.5000 0.7714  1 C 2.71, 2 Ni 2.77, 3 S 2.88-2.99
3 Th 0.7529 0.5000 0.2286  1 C 2.71, 2 Ni 2.77, 3 S 2.88-2.99
4 Th 0.7761 0.0000 0.7782  2 C 2.67, 1 Ni 2.85, 1 S 2.87
5 Ni 0.5000 0.0000 0.0000  6 Th 2.77-2.85
6 C 0.0000 0.5000 0.0000  6 Th 2.67-2.71
7 S 0.0000 0.0000 0.5000  6 Th 2.87-2.88
8 S 0.5000 0.5000 0.5000  6 Th 2.99

Total moment   0.000 μB per atom
ΔE_f (raw)   -1076 meV per atom
Total energy   -0.5654 Ry/atom

=====

Entry 19:
Computed, not measured: a relaxed Th6NiC3S2 crystal at the GGA-PBE level of DFT.

Lattice parameters (Å, degrees): 8.8718 8.8718 8.0391 105.64 105.64 24.87
Closest atoms and distances in Å follow each position.
Sites, in units of the cell vectors:
1 Th 0.0080 0.0080 0.2347  3 C 2.66, 2 Ni 2.90, 1 S 2.92
2 Th 0.3264 0.3264 0.4379  3 C 2.64-2.65, 1 Ni 2.91, 2 S 2.93
3 Th 0.3403 0.3403 0.8969  3 C 2.63-2.66, 3 S 2.91-2.92
4 Th 0.6597 0.6597 0.1031  3 C 2.63-2.66, 3 S 2.91-2.92
5 Th 0.6736 0.6736 0.5621  3 C 2.64-2.65, 1 Ni 2.91, 2 S 2.93
6 Th 0.9920 0.9920 0.7653  3 C 2.66, 2 Ni 2.90, 1 S 2.92
7 Ni 0.5000 0.5000 0.5000  6 Th 2.90-2.91
8 C 0.1675 0.1675 0.3317  6 Th 2.63-2.66
9 C 0.5000 0.5000 0.0000  6 Th 2.66
10 C 0.8325 0.8325 0.6683  6 Th 2.63-2.66
11 S 0.1667 0.1667 0.8337  6 Th 2.91-2.93
12 S 0.8333 0.8333 0.1663  6 Th 2.91-2.93

Total moment   0.000 μB per atom
ΔE_f (raw)   -878 meV per atom
Total energy   -0.5927 Ry/atom

=====

Entry 20:
Computed, not measured: a relaxed Ni2SbC crystal at the GGA-PBE level of DFT.

Lattice parameters (Å, degrees): 4.1599 4.1599 4.1599 60.00 60.00 60.00
Closest atoms and distances in Å follow each position.
Sites, in units of the cell vectors:
1 Ni 0.2500 0.2500 0.2500  4 Sb 2.55, 4 C 2.55
2 Ni 0.7500 0.7500 0.7500  4 Sb 2.55, 4 C 2.55
3 Sb 0.0000 0.0000 0.0000  8 Ni 2.55
4 C 0.5000 0.5000 0.5000  8 Ni 2.55

Total moment   0.000 μB per atom
Energy above the most stable polymorph in this dataset   685 meV per atom
ΔE_f (raw)   1079 meV per atom
Total energy   -0.3784 Ry/atom